# NaSmTh2Te4 PBE optimized geometry
# Density of states at the Fermi level, states/eV/f.u.: 4.9
# Energy relative to the elements, uncorrected, eV per atom: -1.144
data_NaSmTh2Te4
_chemical_formula_sum 'Na1 Sm1 Th2 Te4'
_cell_length_a 7.4955
_cell_length_b 4.2942
_cell_length_c 8.1658
_cell_angle_alpha 90.00
_cell_angle_beta 107.30
_cell_angle_gamma 90.00
_space_group_name_H-M_alt 'P 1 2/m 1'
_space_group_IT_number 10
loop_
_space_group_symop_operation_xyz
'x,y,z'
'-x,-y,-z'
'-x,y,-z'
'x,-y,z'
loop_
_atom_site_label
_atom_site_type_symbol
_atom_site_fract_x
_atom_site_fract_y
_atom_site_fract_z
Na1 Na 0.0000 0.0000 0.0000
Sm1 Sm 0.5000 0.5000 0.0000
Th1 Th 0.0000 0.5000 0.5000
Th2 Th 0.5000 0.0000 0.5000
Te1 Te 0.2458 0.5000 0.2430
Te2 Te 0.2482 0.0000 0.7580


# Na4SmTh3Te8 PBE optimized geometry
# Density of states at the Fermi level, states/eV/f.u.: 9.2
# Energy relative to the elements, uncorrected, eV per atom: -1.152
data_Na4SmTh3Te8
_chemical_formula_sum 'Na12 Sm3 Th9 Te24'
_cell_length_a 8.8200
_cell_length_b 8.8200
_cell_length_c 23.4016
_cell_angle_alpha 90.00
_cell_angle_beta 90.00
_cell_angle_gamma 120.00
_space_group_name_H-M_alt 'R -3 m'
_space_group_IT_number 166
_space_group_name_Hall '-R 3 2"'
loop_
_atom_site_label
_atom_site_type_symbol
_atom_site_fract_x
_atom_site_fract_y
_atom_site_fract_z
Na1 Na 0.0000 0.0000 0.0000
Na2 Na 0.0000 0.5000 0.0000
Sm1 Sm 0.0000 0.0000 0.5000
Th1 Th 0.0000 0.5000 0.5000
Te1 Te 0.0000 0.0000 0.2487
Te2 Te 0.0008 0.5004 0.2476


# Na2SmTh2Te6 PBE optimized geometry
# Density of states at the Fermi level, states/eV/f.u.: 4.9
# Energy relative to the elements, uncorrected, eV per atom: -1.201
data_Na2SmTh2Te6
_chemical_formula_sum 'Na4 Sm2 Th4 Te12'
_cell_length_a 7.7063
_cell_length_b 13.3765
_cell_length_c 8.0924
_cell_angle_alpha 90.00
_cell_angle_beta 108.51
_cell_angle_gamma 90.00
_space_group_name_H-M_alt 'C 1 2/m 1'
_space_group_IT_number 12
loop_
_space_group_symop_operation_xyz
'x,y,z'
'-x,-y,-z'
'-x,y,-z'
'x,-y,z'
'x+1/2,y+1/2,z'
'-x+1/2,-y+1/2,-z'
'-x+1/2,y+1/2,-z'
'x+1/2,-y+1/2,z'
loop_
_atom_site_label
_atom_site_type_symbol
_atom_site_fract_x
_atom_site_fract_y
_atom_site_fract_z
Na1 Na 0.0000 0.1661 0.0000
Sm1 Sm 0.0000 0.0000 0.5000
Th1 Th 0.0000 0.3331 0.5000
Te1 Te 0.2435 0.5000 0.7397
Te2 Te 0.2482 0.1662 0.7402


# Na3SmTh3Te8 PBE optimized geometry
# Density of states at the Fermi level, states/eV/f.u.: 8.1
# Energy relative to the elements, uncorrected, eV per atom: -1.171
data_Na3SmTh3Te8
_chemical_formula_sum 'Na6 Sm2 Th6 Te16'
_cell_length_a 15.3470
_cell_length_b 8.8639
_cell_length_c 9.2783
_cell_angle_alpha 90.00
_cell_angle_beta 123.43
_cell_angle_gamma 90.00
_space_group_name_H-M_alt 'C 1 2/m 1'
_space_group_IT_number 12
loop_
_space_group_symop_operation_xyz
'x,y,z'
'-x,-y,-z'
'-x,y,-z'
'x,-y,z'
'x+1/2,y+1/2,z'
'-x+1/2,-y+1/2,-z'
'-x+1/2,y+1/2,-z'
'x+1/2,-y+1/2,z'
loop_
_atom_site_label
_atom_site_type_symbol
_atom_site_fract_x
_atom_site_fract_y
_atom_site_fract_z
Na1 Na 0.0000 0.0000 0.0000
Na2 Na 0.2500 0.2500 0.0000
Sm1 Sm 0.0000 0.0000 0.5000
Th1 Th 0.0000 0.5000 0.5000
Th2 Th 0.2500 0.2500 0.5000
Te1 Te 0.0041 0.2519 0.2600
Te2 Te 0.2475 0.0000 0.7399
Te3 Te 0.2485 0.5000 0.7456


# Na3Sm3ThTe8 PBE optimized geometry
# Energy relative to the elements, uncorrected, eV per atom: -1.294
data_Na3Sm3ThTe8
_chemical_formula_sum 'Na9 Sm9 Th3 Te24'
_cell_length_a 9.0028
_cell_length_b 9.0028
_cell_length_c 22.7955
_cell_angle_alpha 90.00
_cell_angle_beta 90.00
_cell_angle_gamma 120.00
_space_group_name_H-M_alt 'R -3 m'
_space_group_IT_number 166
_space_group_name_Hall '-R 3 2"'
loop_
_atom_site_label
_atom_site_type_symbol
_atom_site_fract_x
_atom_site_fract_y
_atom_site_fract_z
Na1 Na 0.0000 0.5000 0.0000
Sm1 Sm 0.0000 0.5000 0.5000
Th1 Th 0.0000 0.0000 0.5000
Te1 Te 0.0000 0.0000 0.2455
Te2 Te 0.0006 0.5003 0.7550


# Na4SmTm3Te8 PBE optimized geometry
# Energy relative to the elements, uncorrected, eV per atom: -1.300
data_Na4SmTm3Te8
_chemical_formula_sum 'Na12 Sm3 Tm9 Te24'
_cell_length_a 8.8297
_cell_length_b 8.8297
_cell_length_c 22.6960
_cell_angle_alpha 90.00
_cell_angle_beta 90.00
_cell_angle_gamma 120.00
_space_group_name_H-M_alt 'R -3 m'
_space_group_IT_number 166
_space_group_name_Hall '-R 3 2"'
loop_
_atom_site_label
_atom_site_type_symbol
_atom_site_fract_x
_atom_site_fract_y
_atom_site_fract_z
Na1 Na 0.0000 0.0000 0.0000
Na2 Na 0.0000 0.5000 0.0000
Sm1 Sm 0.0000 0.0000 0.5000
Tm1 Tm 0.0000 0.5000 0.5000
Te1 Te 0.0000 0.0000 0.2427
Te2 Te 0.0066 0.5033 0.7561